Density functional theory data (PBE) for LiAcSO4 after structural relaxation.

Output
Space group: Imma
Volume in Å³ per atom: 16.76
DOS(E_F) in states/eV/atom: 0.000
Raw formation energy in eV per atom: -1.93

abc: 6.738 6.738 6.738
angles: 113.00 109.59 105.90
Element x y z (fractional)
Li: 0.500 0.000 0.000
Li: 0.500 0.500 0.500
Ac: 0.000 0.000 0.000
Ac: 0.500 0.000 0.500
S: 0.181 0.431 0.750
S: 0.819 0.569 0.250
O: 0.083 0.677 0.407
O: 0.230 0.323 0.907
O: 0.284 0.234 0.450
O: 0.284 0.834 0.050
O: 0.716 0.166 0.950
O: 0.716 0.766 0.550
O: 0.770 0.677 0.093
O: 0.917 0.323 0.593